Version P
# Mg3Cd2Au3

A relaxed Mg3Cd2Au3 crystal (PBE-GGA, OQMD).

Cell: 4.907 5.900 5.900 Å, 63.48 90.00 90.00°
Sites, in units of the cell vectors:
1 Au 0.500 0.683 0.180
2 Au 0.500 0.180 0.683
3 Au 0.000 0.822 0.822
4 Cd 0.000 0.324 0.324
5 Cd 0.500 0.676 0.676
6 Mg 0.500 0.171 0.171
7 Mg 0.000 0.824 0.321
8 Mg 0.000 0.321 0.824

## Properties
Density, Mg/m³: 9.657

---

Version Q
# Mg3Cd2Au3

A relaxed Mg3Cd2Au3 crystal (PBE-GGA, OQMD).

Cell: 5.929 4.803 6.071 Å, 90.00 119.01 90.00°
Sites, in units of the cell vectors:
1 Au 0.336 0.000 0.147
2 Au 0.152 0.500 0.349
3 Au 0.684 0.500 0.833
4 Cd 0.661 0.500 0.340
5 Cd 0.329 0.000 0.658
6 Mg 0.841 0.000 0.150
7 Mg 0.817 0.000 0.657
8 Mg 0.181 0.500 0.865

## Properties
Density, Mg/m³: 9.759

---

From most stable to least stable, the computed energies give version Q, version P.

---

Version P
# SrGaW

A relaxed SrGaW crystal (PBE-GGA, OQMD).

Cell: 4.782 4.782 4.782 Å, 60.00 60.00 60.00°
Sites, in units of the cell vectors:
1 Ga 0.000 0.000 0.000
2 Sr 0.250 0.250 0.250
3 W 0.750 0.750 0.750

## Properties
Density, Mg/m³: 7.327
Size of the total moment, μB per formula unit: 2.524

---

Version Q
# SrGaW

A relaxed SrGaW crystal (PBE-GGA, OQMD).

Cell: 5.019 5.019 5.019 Å, 60.00 60.00 60.00°
Sites, in units of the cell vectors:
1 Ga 0.250 0.250 0.250
2 Sr 0.000 0.000 0.000
3 W 0.750 0.750 0.750

## Properties
Density, Mg/m³: 6.337
Size of the total moment, μB per formula unit: 3.114

---

From most stable to least stable, the computed energies give version P, version Q.

---

Version P
# PrErZn2Pb2

A relaxed PrErZn2Pb2 crystal (PBE-GGA, OQMD).

Cell: 4.611 4.611 16.359 Å, 90.00 90.00 120.00°
Sites, in units of the cell vectors:
1 Er 0.000 0.000 0.250
2 Er 0.000 0.000 0.750
3 Pb 0.333 0.667 0.116
4 Pb 0.333 0.667 0.384
5 Pb 0.667 0.333 0.616
6 Pb 0.667 0.333 0.884
7 Pr 0.000 0.000 0.000
8 Pr 0.000 0.000 0.500
9 Zn 0.667 0.333 0.168
10 Zn 0.667 0.333 0.332
11 Zn 0.333 0.667 0.668
12 Zn 0.333 0.667 0.832

## Properties
Density, Mg/m³: 9.410
Size of the total moment, μB per formula unit: 0.004

---

Version Q
# PrErZn2Pb2

A relaxed PrErZn2Pb2 crystal (PBE-GGA, OQMD).

Cell: 4.647 4.647 16.112 Å, 90.00 90.00 120.00°
Sites, in units of the cell vectors:
1 Er 0.000 0.000 0.000
2 Er 0.000 0.000 0.500
3 Pb 0.333 0.667 0.106
4 Pb 0.333 0.667 0.394
5 Pb 0.667 0.333 0.606
6 Pb 0.667 0.333 0.894
7 Pr 0.000 0.000 0.250
8 Pr 0.000 0.000 0.750
9 Zn 0.667 0.333 0.160
10 Zn 0.667 0.333 0.340
11 Zn 0.333 0.667 0.660
12 Zn 0.333 0.667 0.840

## Properties
Density, Mg/m³: 9.408
Size of the total moment, μB per formula unit: 0.001

---

From most stable to least stable, the computed energies give version P, version Q.

---

Version P
# GdYFe2

A relaxed GdYFe2 crystal (PBE-GGA, OQMD).

Cell: 3.731 7.817 5.717 Å, 90.00 90.00 90.00°
Each line ends with the local moment (μB).
Sites, in units of the cell vectors:
1 Fe 0.500 0.220 0.098  1.38
2 Fe 0.500 0.720 0.402  1.42
3 Fe 0.000 0.780 0.598  1.45
4 Fe 0.000 0.280 0.902  1.37
5 Gd 0.000 0.926 0.117  -0.21
6 Gd 0.500 0.074 0.617  -0.21
7 Y 0.000 0.430 0.382  -0.17
8 Y 0.500 0.570 0.882  -0.17

## Properties
Density, Mg/m³: 7.128
Size of the total moment, μB per formula unit: 2.288

---

Version Q
# GdYFe2

A relaxed GdYFe2 crystal (PBE-GGA, OQMD).

Cell: 3.796 5.614 5.614 Å, 43.07 90.00 90.00°
Each line ends with the local moment (μB).
Sites, in units of the cell vectors:
1 Fe 0.500 0.444 0.444  1.21
2 Fe 0.000 0.555 0.555  1.21
3 Gd 0.500 0.144 0.144  -0.19
4 Y 0.000 0.856 0.856  -0.15

## Properties
Density, Mg/m³: 7.274
Size of the total moment, μB per formula unit: 1.953

---

From most stable to least stable, the computed energies give version P, version Q.

---

Version P
# GaPIrO

A relaxed GaPIrO crystal (PBE-GGA, OQMD).

Cell: 4.351 4.351 6.107 Å, 90.00 90.00 90.00°
Sites, in units of the cell vectors:
1 Ga 0.000 0.000 0.500
2 Ga 0.500 0.500 0.500
3 Ir 0.000 0.500 0.050
4 Ir 0.500 0.000 0.950
5 O 0.000 0.000 0.000
6 O 0.500 0.500 0.000
7 P 0.500 0.000 0.321
8 P 0.000 0.500 0.679

## Properties
Density, Mg/m³: 8.872
Size of the total moment, μB per formula unit: 0.004

---

Version Q
# GaPIrO

A relaxed GaPIrO crystal (PBE-GGA, OQMD).

Cell: 3.426 6.201 5.625 Å, 90.00 90.00 90.00°
Each line ends with the local moment (μB).
Sites, in units of the cell vectors:
1 Ga 0.000 0.116 0.480  0.00
2 Ga 0.000 0.884 0.980  0.00
3 Ir 0.500 0.443 0.045  0.11
4 Ir 0.500 0.557 0.545  0.10
5 O 0.500 0.239 0.353  0.02
6 O 0.500 0.761 0.853  0.02
7 P 0.000 0.736 0.376  0.00
8 P 0.000 0.264 0.876  0.01

## Properties
Density, Mg/m³: 8.585
Size of the total moment, μB per formula unit: 0.163

---

From most stable to least stable, the computed energies give version Q, version P.

---

Version P
# GdCo3

A relaxed GdCo3 crystal (PBE-GGA, OQMD).

Cell: 4.357 4.357 4.357 Å, 60.00 60.00 60.00°
Each line ends with the local moment (μB).
Sites, in units of the cell vectors:
1 Co 0.000 0.000 0.000  1.15
2 Co 0.250 0.250 0.250  1.66
3 Co 0.500 0.500 0.500  1.15
4 Gd 0.750 0.750 0.750  -0.22

## Properties
Density, Mg/m³: 9.484
Size of the total moment, μB per formula unit: 3.632

---

Version Q
# GdCo3

A relaxed GdCo3 crystal (PBE-GGA, OQMD).

Cell: 4.980 4.980 8.623 Å, 106.78 73.22 120.00°
Sites, in units of the cell vectors:
1 Co 0.666 0.334 0.002
2 Co 0.419 0.080 0.243
3 Co 0.419 0.581 0.243
4 Co 0.920 0.581 0.243
5 Co 0.500 0.500 0.500
6 Co 0.080 0.419 0.757
7 Co 0.581 0.419 0.757
8 Co 0.581 0.920 0.757
9 Co 0.334 0.666 0.998
10 Gd 0.000 0.000 0.000
11 Gd 0.860 0.140 0.420
12 Gd 0.140 0.860 0.580

## Properties
Density, Mg/m³: 9.532
Size of the total moment, μB per formula unit: 0.008

---

From most stable to least stable, the computed energies give version Q, version P.

---

Version P
# ReF4

A relaxed ReF4 crystal (PBE-GGA, OQMD).

Cell: 5.342 5.342 6.401 Å, 126.63 126.63 61.92°
Each line ends with the local moment (μB).
Sites, in units of the cell vectors:
1 F 0.698 0.698 0.173  0.01
2 F 0.242 0.242 0.207  0.02
3 F 0.781 0.272 0.322  0.08
4 F 0.272 0.781 0.322  0.08
5 F 0.728 0.219 0.678  0.08
6 F 0.219 0.728 0.678  0.08
7 F 0.758 0.758 0.793  0.02
8 F 0.302 0.302 0.827  0.01
9 Re 0.785 0.215 0.000  0.78
10 Re 0.215 0.785 0.000  0.78

## Properties
Density, Mg/m³: 7.522
Size of the total moment, μB per formula unit: 1.000

---

Version Q
# ReF4

A relaxed ReF4 crystal (PBE-GGA, OQMD).

Cell: 5.014 4.859 5.366 Å, 90.00 119.42 90.00°
Each line ends with the local moment (μB).
Sites, in units of the cell vectors:
1 F 0.367 0.345 0.113  0.07
2 F 0.884 0.177 0.119  0.15
3 F 0.116 0.677 0.381  0.15
4 F 0.633 0.845 0.387  0.05
5 F 0.367 0.155 0.613  0.05
6 F 0.884 0.323 0.619  0.15
7 F 0.116 0.823 0.881  0.15
8 F 0.633 0.655 0.887  0.07
9 Re 0.500 0.000 0.000  2.45
10 Re 0.500 0.500 0.500  2.46

## Properties
Density, Mg/m³: 7.648
Size of the total moment, μB per formula unit: 3.000

---

From most stable to least stable, the computed energies give version P, version Q.

---

Version P
# BiPt17

A relaxed BiPt17 crystal (PBE-GGA, OQMD).

Cell: 5.549 5.549 34.130 Å, 90.00 90.00 120.00°
Sites, in units of the cell vectors:
1 Bi 0.333 0.667 0.199
2 Bi 0.666 0.333 0.800
3 Pt 0.331 0.166 0.227
4 Pt 0.834 0.669 0.227
5 Pt 0.834 0.166 0.227
6 Pt 0.003 0.502 0.294
7 Pt 0.498 0.997 0.294
8 Pt 0.498 0.502 0.294
9 Pt 0.000 0.000 0.295
10 Pt 0.167 0.334 0.363
11 Pt 0.167 0.833 0.363
12 Pt 0.665 0.833 0.363
13 Pt 0.666 0.333 0.363
14 Pt 0.333 0.167 0.431
15 Pt 0.833 0.667 0.431
16 Pt 0.833 0.167 0.431
17 Pt 0.333 0.667 0.431
18 Pt 0.000 0.500 0.499
19 Pt 0.999 0.000 0.499
20 Pt 0.500 0.000 0.499
21 Pt 0.500 0.500 0.499
22 Pt 0.666 0.333 0.568
23 Pt 0.666 0.833 0.568
24 Pt 0.166 0.333 0.568
25 Pt 0.166 0.833 0.568
26 Pt 0.333 0.667 0.635
27 Pt 0.832 0.666 0.636
28 Pt 0.334 0.167 0.636
29 Pt 0.832 0.167 0.636
30 Pt 0.000 0.000 0.704
31 Pt 0.501 0.003 0.704
32 Pt 0.997 0.499 0.704
33 Pt 0.501 0.499 0.704
34 Pt 0.165 0.835 0.772
35 Pt 0.668 0.834 0.772
36 Pt 0.165 0.331 0.772

## Properties
Density, Mg/m³: 12.863
Size of the total moment, μB per formula unit: 0.001

---

Version Q
# BiPt17

A relaxed BiPt17 crystal (PBE-GGA, OQMD).

Cell: 4.811 5.552 34.140 Å, 90.00 90.02 90.00°
Sites, in units of the cell vectors:
1 Bi 0.332 0.000 0.199
2 Bi 0.668 0.500 0.801
3 Pt 0.326 0.500 0.228
4 Pt 0.829 0.253 0.229
5 Pt 0.829 0.747 0.229
6 Pt 0.007 0.000 0.295
7 Pt 0.501 0.247 0.296
8 Pt 0.501 0.753 0.296
9 Pt 0.003 0.500 0.297
10 Pt 0.171 0.249 0.364
11 Pt 0.171 0.751 0.364
12 Pt 0.670 0.000 0.364
13 Pt 0.671 0.500 0.365
14 Pt 0.336 0.000 0.432
15 Pt 0.836 0.250 0.432
16 Pt 0.836 0.750 0.432
17 Pt 0.335 0.500 0.432
18 Pt 0.000 0.000 0.500
19 Pt 0.500 0.250 0.500
20 Pt 0.500 0.750 0.500
21 Pt 0.000 0.500 0.500
22 Pt 0.665 0.000 0.568
23 Pt 0.164 0.250 0.568
24 Pt 0.164 0.750 0.568
25 Pt 0.664 0.500 0.568
26 Pt 0.329 0.000 0.635
27 Pt 0.330 0.500 0.636
28 Pt 0.829 0.251 0.636
29 Pt 0.829 0.749 0.636
30 Pt 0.997 0.000 0.703
31 Pt 0.499 0.253 0.704
32 Pt 0.499 0.747 0.704
33 Pt 0.993 0.500 0.705
34 Pt 0.171 0.247 0.771
35 Pt 0.171 0.753 0.771
36 Pt 0.674 0.000 0.772

## Properties
Density, Mg/m³: 12.839
Size of the total moment, μB per formula unit: 0.075

---

From most stable to least stable, the computed energies give version P, version Q.

---

Version P
# ReAgPO

A relaxed ReAgPO crystal (PBE-GGA, OQMD).

Cell: 4.211 4.211 6.552 Å, 90.00 90.00 90.00°
Sites, in units of the cell vectors:
1 Ag 0.000 0.000 0.092
2 Ag 0.500 0.500 0.908
3 O 0.500 0.000 0.000
4 O 0.000 0.500 0.000
5 P 0.500 0.500 0.340
6 P 0.000 0.000 0.660
7 Re 0.500 0.000 0.500
8 Re 0.000 0.500 0.500

## Properties
Density, Mg/m³: 9.748
Size of the total moment, μB per formula unit: 0.350

---

Version Q
# ReAgPO

A relaxed ReAgPO crystal (PBE-GGA, OQMD).

Cell: 3.805 5.994 5.823 Å, 90.00 90.00 90.00°
Sites, in units of the cell vectors:
1 Ag 0.000 0.841 0.008
2 Ag 0.000 0.159 0.508
3 O 0.000 0.749 0.445
4 O 0.000 0.251 0.945
5 P 0.500 0.363 0.342
6 P 0.500 0.637 0.842
7 Re 0.500 0.731 0.460
8 Re 0.500 0.269 0.960

## Properties
Density, Mg/m³: 8.528
Size of the total moment, μB per formula unit: 0.001

---

From most stable to least stable, the computed energies give version Q, version P.

---

Version P
# Cu7Ag3

A relaxed Cu7Ag3 crystal (PBE-GGA, OQMD).

Cell: 5.944 3.790 6.082 Å, 90.00 91.63 90.00°
Sites, in units of the cell vectors:
1 Ag 0.000 0.000 0.000
2 Ag 0.888 0.500 0.302
3 Ag 0.112 0.500 0.698
4 Cu 0.319 0.500 0.111
5 Cu 0.583 0.000 0.198
6 Cu 0.221 0.000 0.401
7 Cu 0.500 0.500 0.500
8 Cu 0.779 0.000 0.599
9 Cu 0.417 0.000 0.802
10 Cu 0.681 0.500 0.889

## Properties
Density, Mg/m³: 9.318

---

Version Q
# Cu7Ag3

A relaxed Cu7Ag3 crystal (PBE-GGA, OQMD).

Cell: 4.640 2.732 11.002 Å, 90.00 97.43 90.00°
Sites, in units of the cell vectors:
1 Ag 0.905 0.000 0.190
2 Ag 0.797 0.500 0.406
3 Ag 0.598 0.500 0.804
4 Cu 0.482 0.000 0.004
5 Cu 0.399 0.500 0.198
6 Cu 0.301 0.000 0.405
7 Cu 0.203 0.500 0.602
8 Cu 0.700 0.000 0.605
9 Cu 0.099 0.000 0.797
10 Cu 0.017 0.500 0.990

## Properties
Density, Mg/m³: 9.227

---

Version R
# Cu7Ag3

A relaxed Cu7Ag3 crystal (PBE-GGA, OQMD).

Cell: 7.171 7.171 7.454 Å, 105.72 105.72 21.94°
Sites, in units of the cell vectors:
1 Ag 0.000 0.000 0.000
2 Ag 0.393 0.393 0.207
3 Ag 0.607 0.607 0.793
4 Cu 0.200 0.200 0.116
5 Cu 0.604 0.604 0.316
6 Cu 0.794 0.794 0.409
7 Cu 0.000 0.000 0.500
8 Cu 0.206 0.206 0.591
9 Cu 0.396 0.396 0.684
10 Cu 0.800 0.800 0.884

## Properties
Density, Mg/m³: 9.269

---

From most stable to least stable, the computed energies give version P, version R, version Q.